Entry 1:
A plane-wave DFT calculation with PBE was carried out for crystalline NdY2TlO at its relaxed geometry.

Cell and atoms, written as extended XYZ:
```
5
Lattice="4.997 0.000 0.000 0.000 4.809 0.000 0.000 0.000 4.809" Properties=species:S:1:pos:R:3 pbc="T T T"
Nd 2.498 0.000 0.000
Y 0.000 0.000 2.404
Y 0.000 2.404 0.000
Tl 2.498 2.404 2.404
O 0.000 0.000 0.000
```

Computed properties:
- V: 116 Å³/cell
- Total magnetic moment: 0.000 μB/f.u.
- E_form (uncorrected): -1.350 eV per atom

***

Entry 2:
A plane-wave DFT calculation with PBE was carried out for crystalline Nd12YTl4O3 at its relaxed geometry.

Cell and atoms, written as extended XYZ:
```
20
Lattice="8.966 0.000 0.000 -2.989 8.453 0.000 -2.989 -4.227 7.321" Properties=species:S:1:pos:R:3 pbc="T T T"
Nd -1.494 1.057 5.491
Nd 4.334 -3.065 5.308
Nd 1.643 -1.162 2.013
Nd 4.483 3.170 1.830
Nd 4.334 6.129 0.000
Nd 1.643 2.324 0.000
Nd 4.483 0.000 3.660
Nd -1.494 4.227 3.660
Nd 1.494 -1.057 5.491
Nd -4.334 3.065 5.308
Nd 1.494 5.283 1.830
Nd -1.643 1.162 2.013
Y 0.000 0.000 0.000
Tl 1.494 2.113 3.660
Tl -1.494 -2.113 3.660
Tl 4.483 0.000 0.000
Tl -1.494 4.227 0.000
O 2.989 -2.113 3.660
O 2.989 4.227 0.000
O -2.989 2.113 3.660
```

Computed properties:
- V: 555 Å³/cell
- Total magnetic moment: 0.000 μB/f.u.
- E_form (uncorrected): -0.728 eV per atom

***

Entry 3:
A plane-wave DFT calculation with PBE was carried out for crystalline NdTmO4 at its relaxed geometry.

Cell and atoms, written as extended XYZ:
```
6
Lattice="-0.809 -0.323 -3.787 2.401 -2.515 1.695 -5.365 -3.075 1.408" Properties=species:S:1:pos:R:3 pbc="T T T"
Nd -0.798 -3.862 0.500
Tm 0.130 -0.384 0.005
O -4.209 -3.579 -0.789
O 1.092 -2.421 -0.027
O -1.631 -1.698 0.493
O -2.815 -4.094 -1.043
```

Computed properties:
- V: 82 Å³/cell
- Total magnetic moment: 0.000 μB/f.u.
- E_form (uncorrected): -2.912 eV per atom

***

Entry 4:
A plane-wave DFT calculation with PBE was carried out for crystalline Nd3TmO at its relaxed geometry.

Cell and atoms, written as extended XYZ:
```
5
Lattice="5.083 0.000 0.000 0.000 5.083 0.000 0.000 0.000 5.083" Properties=species:S:1:pos:R:3 pbc="T T T"
Tm 2.542 2.542 2.542
Nd 0.000 2.542 0.000
Nd 0.000 0.000 2.542
Nd 2.542 0.000 0.000
O 0.000 0.000 0.000
```

Computed properties:
- V: 131 Å³/cell
- Total magnetic moment: 0.000 μB/f.u.
- E_form (uncorrected): -1.105 eV per atom

***

Entry 5:
A plane-wave DFT calculation with PBE was carried out for crystalline Nd3Tm5O12 at its relaxed geometry.

Cell and atoms, written as extended XYZ:
```
80
Lattice="-4.244 -4.273 10.055 9.369 -6.246 -3.253 3.105 11.199 1.516" Properties=species:S:1:pos:R:3 pbc="T T T"
Nd 0.718 -4.147 6.510
Nd 3.701 -7.023 6.547
Nd 7.376 0.713 2.278
Nd 1.274 2.351 2.676
Nd -1.766 -1.720 8.770
Nd 5.040 -2.706 2.116
Nd 3.189 3.387 6.201
Nd 9.996 2.401 -0.453
Nd 6.955 -1.670 5.642
Nd 0.854 -0.032 6.039
Nd 4.529 7.704 1.770
Nd 7.511 4.828 1.807
Tm 3.759 -0.076 0.416
Tm 4.684 -3.123 -1.627
Tm 0.000 0.000 0.000
Tm 1.139 -1.764 3.147
Tm -0.570 3.463 5.785
Tm 2.562 -5.259 3.401
Tm 7.660 -1.019 -0.615
Tm 0.705 5.814 8.461
Tm 3.837 -2.908 6.076
Tm 1.908 6.016 4.501
Tm 6.321 -5.336 3.816
Tm 4.115 0.340 4.159
Tm -2.122 -2.137 5.027
Tm 1.553 5.600 0.758
Tm 4.393 3.589 2.241
Tm 7.525 -5.133 -0.144
Tm 6.237 2.477 -0.869
Tm 0.569 1.699 8.932
Tm 7.091 2.445 5.171
Tm 4.471 0.757 7.902
O -1.704 -3.422 6.818
O 4.941 -0.161 2.134
O 0.286 -3.223 8.892
O 0.118 -2.196 4.915
O 6.302 0.604 4.585
O 1.993 -5.830 8.012
O 7.275 -1.651 1.336
O 8.588 -4.657 -1.875
O 8.599 -0.963 3.830
O 2.997 -4.742 5.540
O 2.139 -2.083 6.965
O 5.144 -8.774 5.390
O 7.815 1.023 -0.212
O 2.529 -3.192 2.528
O 9.316 -1.889 -1.541
O 1.278 4.033 4.647
O 1.945 0.937 0.610
O 4.648 -5.180 2.579
O 5.959 -6.034 5.749
O 3.620 -2.131 0.082
O 9.872 1.213 1.797
O 4.674 -1.803 4.517
O 5.537 -3.006 7.282
O 2.546 4.859 8.234
O 3.556 2.484 3.800
O 2.693 3.687 1.036
O 5.683 -4.178 0.083
O 2.271 6.714 2.568
O -1.643 -0.532 6.521
O 4.610 2.812 8.236
O 3.581 5.861 5.739
O 6.952 -3.352 3.671
O 6.284 -0.256 7.707
O -1.086 2.570 9.858
O 0.415 -0.342 8.529
O 3.086 9.455 2.927
O 5.701 3.873 5.789
O -0.370 1.644 4.488
O 5.233 5.423 2.777
O 6.090 2.764 1.352
O -0.359 5.338 10.192
O 0.955 2.332 6.981
O 8.112 2.876 3.403
O 6.237 6.511 0.305
O 1.928 0.077 3.732
O 7.944 3.904 -0.575
O 3.289 0.842 6.184
O 9.934 4.103 1.500
```

Computed properties:
- V: 1239 Å³/cell
- Total magnetic moment: 0.000 μB/f.u.
- E_form (uncorrected): -3.417 eV per atom

***

Entry 6:
A plane-wave DFT calculation with PBE was carried out for crystalline Nd3TmO6 at its relaxed geometry.

Cell and atoms, written as extended XYZ:
```
20
Lattice="6.934 -0.041 -0.042 -0.191 6.932 -0.042 -0.191 -0.195 6.929" Properties=species:S:1:pos:R:3 pbc="T T T"
Nd 2.746 6.321 5.124
Nd 6.260 5.058 2.995
Nd 1.630 3.842 0.412
Nd 4.921 2.853 6.433
Nd 0.291 1.637 3.851
Nd 3.806 0.374 1.722
Tm 0.000 0.000 0.000
Tm 3.276 3.348 3.423
O 1.940 6.294 0.408
O 0.301 6.333 4.760
O 3.884 5.480 3.168
O 6.325 4.750 0.544
O 2.960 3.949 5.549
O 1.157 3.617 2.774
O 5.395 3.078 4.071
O 3.591 2.746 1.296
O 0.227 1.946 6.301
O 2.668 1.215 3.678
O 6.250 0.362 2.085
O 4.611 0.402 6.437
```

Computed properties:
- V: 333 Å³/cell
- Total magnetic moment: 0.000 μB/f.u.
- E_form (uncorrected): -3.445 eV per atom